No. 1
Below is a relaxed TcI2Cl crystal, with properties calculated at the PBE-GGA level.

Computed properties:
E = -3.519 eV/atom
Crystal system = tetragonal
Energy above the most stable polymorph in this dataset = 0.00 kJ per mole of atoms
ΔE_f (raw) = 0.31 eV per atom
Volume = 134.8 Å³/f.u.

Cell lengths 7.3848, 7.3848, 9.8842 Å; angles 90.00, 90.00, 90.00 degrees
Last column: nearest neighbours and their distance in Å.
Element x y z (fractional)
Tc: 0.0000 0.0000 0.0000  4 I 2.56
Tc: 0.0000 0.5000 0.2500  4 I 2.56
Tc: 0.5000 0.0000 0.7500  4 I 2.56
Tc: 0.5000 0.5000 0.5000  4 I 2.56
I: 0.1733 0.7500 0.1250  2 Tc 2.56
I: 0.2500 0.1733 0.8750  2 Tc 2.56
I: 0.2500 0.3267 0.3750  2 Tc 2.56
I: 0.3267 0.7500 0.6250  2 Tc 2.56
I: 0.6733 0.2500 0.6250  2 Tc 2.56
I: 0.7500 0.6733 0.3750  2 Tc 2.56
I: 0.7500 0.8267 0.8750  2 Tc 2.56
I: 0.8267 0.2500 0.1250  2 Tc 2.56
Cl: 0.0000 0.0000 0.5000  4 I 3.28
Cl: 0.0000 0.5000 0.7500  4 I 3.28
Cl: 0.5000 0.0000 0.2500  4 I 3.28
Cl: 0.5000 0.5000 0.0000  4 I 3.28

***

No. 2
Below is a relaxed Pr3Al crystal, with properties calculated at the PBE-GGA level.

Computed properties:
E = -4.529 eV/atom
Crystal system = cubic
Energy above the most stable polymorph in this dataset = 15.80 kJ per mole of atoms
Volume = 121.8 Å³/f.u.
Energy of formation from the pure elements = -0.01 eV/atom

Cell lengths 7.8682, 7.8682, 7.8682 Å; angles 90.00, 90.00, 90.00 degrees
Last column: nearest neighbours and their distance in Å.
Element x y z (fractional)
Pr: 0.0000 0.0000 0.0000  8 Pr 3.41
Pr: 0.0000 0.5000 0.5000  8 Pr 3.41
Pr: 0.2500 0.2500 0.2500  4 Pr 3.41, 4 Al 3.41
Pr: 0.2500 0.2500 0.7500  4 Pr 3.41, 4 Al 3.41
Pr: 0.2500 0.7500 0.2500  4 Pr 3.41, 4 Al 3.41
Pr: 0.2500 0.7500 0.7500  4 Pr 3.41, 4 Al 3.41
Pr: 0.5000 0.0000 0.5000  8 Pr 3.41
Pr: 0.5000 0.5000 0.0000  8 Pr 3.41
Pr: 0.7500 0.2500 0.2500  4 Pr 3.41, 4 Al 3.41
Pr: 0.7500 0.2500 0.7500  4 Pr 3.41, 4 Al 3.41
Pr: 0.7500 0.7500 0.2500  4 Pr 3.41, 4 Al 3.41
Pr: 0.7500 0.7500 0.7500  4 Pr 3.41, 4 Al 3.41
Al: 0.0000 0.0000 0.5000  8 Pr 3.41
Al: 0.0000 0.5000 0.0000  8 Pr 3.41
Al: 0.5000 0.0000 0.0000  8 Pr 3.41
Al: 0.5000 0.5000 0.5000  8 Pr 3.41

***

No. 3
Below is a relaxed Cs2AcZr2S7 crystal, with properties calculated at the PBE-GGA level.

Computed properties:
E = -5.814 eV/atom
Crystal system = tetragonal
ΔE_f (raw) = -1.50 eV per atom
Volume = 350.9 Å³/f.u.

Cell lengths 14.2956, 14.2956, 14.2956 Å; angles 159.72, 159.72, 28.84 degrees
Last column: nearest neighbours and their distance in Å.
Element x y z (fractional)
Cs: 0.1855 0.1855 0.0000  9 S 3.56-3.95
Cs: 0.8145 0.8145 0.0000  9 S 3.56-3.95
Ac: 0.0000 0.0000 0.0000  12 S 3.27-3.56
Zr: 0.4043 0.4043 0.0000  6 S 2.37-2.65
Zr: 0.5957 0.5957 0.0000  6 S 2.37-2.65
S: 0.0754 0.5754 0.5000  2 Zr 2.58
S: 0.3187 0.3187 0.0000  1 Zr 2.37
S: 0.4246 0.9246 0.5000  2 Zr 2.58
S: 0.5000 0.5000 0.0000  2 Zr 2.65
S: 0.5754 0.0754 0.5000  2 Zr 2.58
S: 0.6813 0.6813 0.0000  1 Zr 2.37
S: 0.9246 0.4246 0.5000  2 Zr 2.58

***

No. 4
Below is a relaxed AcGdTmAl crystal, with properties calculated at the PBE-GGA level.

Computed properties:
E = -6.625 eV/atom
Crystal system = cubic
Volume = 120.3 Å³/f.u.
Energy of formation from the pure elements = -0.02 eV/atom

Cell lengths 7.8355, 7.8355, 7.8355 Å; angles 90.00, 90.00, 90.00 degrees
Last column: nearest neighbours and their distance in Å.
Element x y z (fractional)
Ac: 0.0000 0.0000 0.0000  4 Al 3.39, 4 Tm 3.39
Ac: 0.0000 0.5000 0.5000  4 Al 3.39, 4 Tm 3.39
Ac: 0.5000 0.0000 0.5000  4 Al 3.39, 4 Tm 3.39
Ac: 0.5000 0.5000 0.0000  4 Al 3.39, 4 Tm 3.39
Gd: 0.0000 0.0000 0.5000  4 Tm 3.39, 4 Al 3.39
Gd: 0.0000 0.5000 0.0000  4 Tm 3.39, 4 Al 3.39
Gd: 0.5000 0.0000 0.0000  4 Tm 3.39, 4 Al 3.39
Gd: 0.5000 0.5000 0.5000  4 Tm 3.39, 4 Al 3.39
Tm: 0.2500 0.2500 0.2500  4 Gd 3.39, 4 Ac 3.39
Tm: 0.2500 0.7500 0.7500  4 Gd 3.39, 4 Ac 3.39
Tm: 0.7500 0.2500 0.7500  4 Gd 3.39, 4 Ac 3.39
Tm: 0.7500 0.7500 0.2500  4 Gd 3.39, 4 Ac 3.39
Al: 0.2500 0.2500 0.7500  4 Gd 3.39, 4 Ac 3.39
Al: 0.2500 0.7500 0.2500  4 Gd 3.39, 4 Ac 3.39
Al: 0.7500 0.2500 0.2500  4 Gd 3.39, 4 Ac 3.39
Al: 0.7500 0.7500 0.7500  4 Gd 3.39, 4 Ac 3.39

***

No. 5
Below is a relaxed MoAsSe crystal, with properties calculated at the PBE-GGA level.

Computed properties:
E = -6.525 eV/atom
Crystal system = trigonal
Energy above the most stable polymorph in this dataset = 3.80 kJ per mole of atoms
ΔE_f (raw) = -0.20 eV per atom
Volume = 58.0 Å³/f.u.

Cell lengths 3.3125, 3.3125, 6.1049 Å; angles 90.00, 90.00, 120.00 degrees
Last column: nearest neighbours and their distance in Å.
Element x y z (fractional)
Mo: 0.0000 0.0000 0.0000  3 Se 2.54, 3 As 2.59
As: 0.3333 0.6667 0.7132  3 Mo 2.59
Se: 0.6667 0.3333 0.2743  3 Mo 2.54

***

No. 6
Below is a relaxed Cd4In3Hg crystal, with properties calculated at the PBE-GGA level.

Computed properties:
E = -1.474 eV/atom
Crystal system = orthorhombic
Energy above the most stable polymorph in this dataset = 2.13 kJ per mole of atoms
Volume = 204.5 Å³/f.u.
Energy of formation from the pure elements = 0.05 eV/atom

Cell lengths 6.2083, 10.4927, 6.2789 Å; angles 90.00, 90.00, 90.00 degrees
Last column: nearest neighbours and their distance in Å.
Element x y z (fractional)
Cd: 0.0000 0.2306 0.0000  1 Hg 3.02, 5 In 3.06-3.22, 2 Cd 3.21
Cd: 0.0000 0.7694 0.0000  1 Hg 3.02, 5 In 3.06-3.22, 2 Cd 3.21
Cd: 0.2450 0.0000 0.2329  4 Cd 3.04-3.21, 1 Hg 3.15, 3 In 3.19-3.31
Cd: 0.2550 0.5000 0.7329  4 Cd 3.04-3.21, 1 Hg 3.15, 3 In 3.19-3.31
Cd: 0.5000 0.2694 0.5000  1 Hg 3.02, 5 In 3.06-3.22, 2 Cd 3.21
Cd: 0.5000 0.7306 0.5000  1 Hg 3.02, 5 In 3.06-3.22, 2 Cd 3.21
Cd: 0.7450 0.5000 0.7329  4 Cd 3.04-3.21, 1 Hg 3.15, 3 In 3.19-3.31
Cd: 0.7550 0.0000 0.2329  4 Cd 3.04-3.21, 1 Hg 3.15, 3 In 3.19-3.31
In: 0.0000 0.0000 0.7007  4 Cd 3.06-3.31, 2 Hg 3.11, 2 In 3.19
In: 0.0000 0.2777 0.4940  6 Cd 3.11-3.22, 1 Hg 3.11, 1 In 3.19
In: 0.0000 0.7223 0.4940  6 Cd 3.11-3.22, 1 Hg 3.11, 1 In 3.19
In: 0.5000 0.2223 0.9940  6 Cd 3.11-3.22, 1 Hg 3.11, 1 In 3.19
In: 0.5000 0.5000 0.2007  4 Cd 3.06-3.31, 2 Hg 3.11, 2 In 3.19
In: 0.5000 0.7777 0.9940  6 Cd 3.11-3.22, 1 Hg 3.11, 1 In 3.19
Hg: 0.0000 0.5000 0.1673  4 Cd 3.02-3.15, 4 In 3.11
Hg: 0.5000 0.0000 0.6673  4 Cd 3.02-3.15, 4 In 3.11

***

No. 7
Below is a relaxed MoAs2PtSe crystal, with properties calculated at the PBE-GGA level.

Computed properties:
E = -5.212 eV/atom
Crystal system = tetragonal
Energy above the most stable polymorph in this dataset = 0.00 kJ per mole of atoms
ΔE_f (raw) = 0.72 eV per atom
Volume = 112.4 Å³/f.u.

Cell lengths 4.8664, 4.8664, 4.7479 Å; angles 90.00, 90.00, 90.00 degrees
Last column: nearest neighbours and their distance in Å.
Element x y z (fractional)
Mo: 0.0000 0.0000 0.0000  2 Se 2.37, 4 As 2.43
As: 0.0000 0.5000 0.0000  2 Mo 2.43
As: 0.5000 0.0000 0.0000  2 Mo 2.43
Pt: 0.5000 0.5000 0.5000  8 As 3.40, 4 Se 3.44
Se: 0.0000 0.0000 0.5000  2 Mo 2.37

***

No. 8
Below is a relaxed Cd2CuRe crystal, with properties calculated at the PBE-GGA level.

Computed properties:
E = -4.125 eV/atom
Crystal system = orthorhombic
Energy above the most stable polymorph in this dataset = 7.37 kJ per mole of atoms
Volume = 67.6 Å³/f.u.
Energy of formation from the pure elements = 0.47 eV/atom

Cell lengths 5.7526, 8.4061, 2.7949 Å; angles 90.00, 90.00, 90.00 degrees
Last column: nearest neighbours and their distance in Å.
Element x y z (fractional)
Cd: 0.2500 0.2500 0.0000  4 Cd 2.79-2.88, 4 Re 2.90, 4 Cu 2.90
Cd: 0.2500 0.7500 0.0000  4 Cd 2.79-2.88, 4 Re 2.90, 4 Cu 2.90
Cd: 0.7500 0.2500 0.0000  4 Cd 2.79-2.88, 4 Re 2.90, 4 Cu 2.90
Cd: 0.7500 0.7500 0.0000  4 Cd 2.79-2.88, 4 Cu 2.90, 4 Re 2.90
Cu: 0.0000 0.0000 0.5000  2 Cu 2.79, 2 Re 2.88, 8 Cd 2.90
Cu: 0.5000 0.5000 0.5000  2 Cu 2.79, 2 Re 2.88, 8 Cd 2.90
Re: 0.0000 0.5000 0.5000  2 Re 2.79, 2 Cu 2.88, 8 Cd 2.90
Re: 0.5000 0.0000 0.5000  2 Re 2.79, 2 Cu 2.88, 8 Cd 2.90

***

No. 9
Below is a relaxed Ru4WAu crystal, with properties calculated at the PBE-GGA level.

Computed properties:
E = -8.413 eV/atom
Crystal system = cubic
Volume = 92.6 Å³/f.u.
Energy of formation from the pure elements = 0.48 eV/atom

Cell lengths 5.0783, 5.0783, 5.0783 Å; angles 60.00, 60.00, 60.00 degrees
Last column: nearest neighbours and their distance in Å.
Element x y z (fractional)
Ru: 0.1251 0.1251 0.1251  6 Ru 2.54
Ru: 0.1251 0.1251 0.6246  6 Ru 2.54
Ru: 0.1251 0.6246 0.1251  6 Ru 2.54
Ru: 0.6246 0.1251 0.1251  6 Ru 2.54
W: 0.7500 0.7500 0.7500  12 Ru 2.98, 4 Au 3.11
Au: 0.5000 0.5000 0.5000  12 Ru 2.98, 4 W 3.11

***

Look up the volume of the second one.
121.8 Å³/f.u.